# 1
# PBE LiYMn2, optimized geometry
# ΔE_f = 464.6 meV per atom
# V = 307.68 Å³ per cell
# Energy relative to the lowest polymorph listed for this composition = 219 meV/atom
data_LiYMn2
_chemical_formula_sum 'Li4 Y4 Mn8'
_cell_length_a 6.751
_cell_length_b 6.751
_cell_length_c 6.751
_cell_angle_alpha 90.00
_cell_angle_beta 90.00
_cell_angle_gamma 90.00
_space_group_name_H-M_alt 'F m -3 m'
_space_group_IT_number 225
_space_group_name_Hall '-F 4 2 3'
loop_
_atom_site_label
_atom_site_type_symbol
_atom_site_fract_x
_atom_site_fract_y
_atom_site_fract_z
_atom_site_occupancy
Li1 Li 0.000 0.000 0.000 1
Y1 Y 0.000 0.000 0.500 1
Mn1 Mn 0.250 0.250 0.250 1



# 2
# PBE SrPm4Pb5, optimized geometry
# ΔE_f = -507.6 meV per atom
# V = 304.44 Å³ per cell
data_SrPm4Pb5
_chemical_formula_sum 'Sr1 Pm4 Pb5'
_cell_length_a 3.616
_cell_length_b 3.616
_cell_length_c 23.287
_cell_angle_alpha 90.00
_cell_angle_beta 90.00
_cell_angle_gamma 90.00
_space_group_name_H-M_alt 'P 4/m m m'
_space_group_IT_number 123
_space_group_name_Hall '-P 4 2'
loop_
_atom_site_label
_atom_site_type_symbol
_atom_site_fract_x
_atom_site_fract_y
_atom_site_fract_z
_atom_site_occupancy
Sr1 Sr 0.000 0.000 0.000 1
Pm1 Pm 0.000 0.000 0.205 1
Pm2 Pm 0.000 0.000 0.402 1
Pb1 Pb 0.500 0.500 0.106 1
Pb2 Pb 0.500 0.500 0.303 1
Pb3 Pb 0.500 0.500 0.500 1